Record 1
Material: KNa2MgP
Method: DFT, PBE
State: relaxed

```
data_KNa2MgP
_chemical_formula_sum 'K1 Na2 Mg1 P1'
_cell_length_a 5.7260
_cell_length_b 5.7260
_cell_length_c 5.0863
_cell_angle_alpha 90.00
_cell_angle_beta 90.00
_cell_angle_gamma 90.00
_space_group_name_H-M_alt 'P 1'
_space_group_IT_number 1
_space_group_name_Hall 'P 1'
loop_
_atom_site_label
_atom_site_type_symbol
_atom_site_fract_x
_atom_site_fract_y
_atom_site_fract_z
Mg1 Mg 0.0000 0.0000 0.5000
Na1 Na 0.0000 0.5000 0.0000
P1 P 0.0000 0.0000 0.0000
K1 K 0.5000 0.5000 0.5000
Na2 Na 0.5000 0.0000 0.0000
```

Output
DOS(E_F) in states/eV/atom: 0.390
Total magnetic moment in Bohr magnetons per cell: 0.00
ΔH_f (0 K) in meV per atom: -117

=====

Record 2
Material: Ce4InBi3
Method: DFT, PBE
State: relaxed

```
data_Ce4InBi3
_chemical_formula_sum 'Ce4 In1 Bi3'
_cell_length_a 5.8731
_cell_length_b 6.1487
_cell_length_c 8.4406
_cell_angle_alpha 116.15
_cell_angle_beta 110.36
_cell_angle_gamma 90.00
_space_group_name_H-M_alt 'P 1'
_space_group_IT_number 1
_space_group_name_Hall 'P 1'
loop_
_atom_site_label
_atom_site_type_symbol
_atom_site_fract_x
_atom_site_fract_y
_atom_site_fract_z
Bi1 Bi 0.3433 0.9110 0.6867
Ce1 Ce 0.2521 0.3058 0.5042
Ce2 Ce 0.1024 0.6428 0.2048
In1 In 0.0000 0.0000 0.0000
Bi2 Bi 0.5000 0.5000 0.0000
Bi3 Bi 0.6567 0.0890 0.3133
Ce3 Ce 0.8976 0.3572 0.7952
Ce4 Ce 0.7479 0.6942 0.4958
```

Output
DOS(E_F) in states/eV/atom: 2.870
Total magnetic moment in Bohr magnetons per cell: 5.85
ΔH_f (0 K) in meV per atom: -324

=====

Record 3
Material: Li3PdBr
Method: DFT, PBE
State: relaxed

```
data_Li3PdBr
_chemical_formula_sum 'Li3 Pd1 Br1'
_cell_length_a 4.7284
_cell_length_b 4.7284
_cell_length_c 4.7284
_cell_angle_alpha 90.00
_cell_angle_beta 90.00
_cell_angle_gamma 90.00
_space_group_name_H-M_alt 'P 1'
_space_group_IT_number 1
_space_group_name_Hall 'P 1'
loop_
_atom_site_label
_atom_site_type_symbol
_atom_site_fract_x
_atom_site_fract_y
_atom_site_fract_z
Li1 Li 0.0000 0.5000 0.0000
Pd1 Pd 0.5000 0.5000 0.5000
Br1 Br 0.0000 0.0000 0.0000
Li2 Li 0.5000 0.0000 0.0000
Li3 Li 0.0000 0.0000 0.5000
```

Output
DOS(E_F) in states/eV/atom: 0.000
Offset from the most stable computed form in meV/atom: 67
Total magnetic moment in Bohr magnetons per cell: 0.00
Uncorrected formation energy in eV per formula unit: -1.9

=====

Record 4
Material: FeCo3Br
Method: DFT, PBE
State: relaxed

```
data_FeCo3Br
_chemical_formula_sum 'Fe1 Co3 Br1'
_cell_length_a 4.4319
_cell_length_b 4.4319
_cell_length_c 4.4319
_cell_angle_alpha 90.00
_cell_angle_beta 90.00
_cell_angle_gamma 90.00
_space_group_name_H-M_alt 'P 1'
_space_group_IT_number 1
_space_group_name_Hall 'P 1'
loop_
_atom_site_label
_atom_site_type_symbol
_atom_site_fract_x
_atom_site_fract_y
_atom_site_fract_z
Co1 Co 0.0000 0.0000 0.5000
Co2 Co 0.0000 0.5000 0.0000
Br1 Br 0.5000 0.5000 0.5000
Co3 Co 0.5000 0.0000 0.0000
Fe1 Fe 0.0000 0.0000 0.0000
```

Output
DOS(E_F) in states/eV/atom: 1.299
Offset from the most stable computed form in meV/atom: 0
Total magnetic moment in Bohr magnetons per cell: 8.12
Uncorrected formation energy in eV per formula unit: 6.0

=====

Record 5
Material: Pm4AgRu
Method: DFT, PBE
State: relaxed

```
data_Pm4AgRu
_chemical_formula_sum 'Pm4 Ag1 Ru1'
_cell_length_a 4.9673
_cell_length_b 4.9696
_cell_length_c 7.2871
_cell_angle_alpha 89.91
_cell_angle_beta 89.95
_cell_angle_gamma 90.00
_space_group_name_H-M_alt 'P 1'
_space_group_IT_number 1
_space_group_name_Hall 'P 1'
loop_
_atom_site_label
_atom_site_type_symbol
_atom_site_fract_x
_atom_site_fract_y
_atom_site_fract_z
Pm1 Pm 0.0016 0.4978 0.7284
Pm2 Pm 0.5015 0.9978 0.7284
Pm3 Pm 0.5011 0.9967 0.2678
Ru1 Ru 0.0012 0.9974 0.4982
Pm4 Pm 0.0010 0.4968 0.2679
Ag1 Ag 0.5013 0.4972 0.9981
```

Output
DOS(E_F) in states/eV/atom: 1.161
Offset from the most stable computed form in meV/atom: 165
Total magnetic moment in Bohr magnetons per cell: 0.00
ΔH_f (0 K) in meV per atom: -71

=====

Record 6
Material: Tb4SbIr
Method: DFT, PBE
State: relaxed

```
data_Tb4SbIr
_chemical_formula_sum 'Tb8 Sb2 Ir2'
_cell_length_a 6.1317
_cell_length_b 6.5372
_cell_length_c 8.7935
_cell_angle_alpha 90.00
_cell_angle_beta 110.41
_cell_angle_gamma 90.00
_space_group_name_H-M_alt 'P 1'
_space_group_IT_number 1
_space_group_name_Hall 'P 1'
loop_
_atom_site_label
_atom_site_type_symbol
_atom_site_fract_x
_atom_site_fract_y
_atom_site_fract_z
Sb1 Sb 0.7952 0.7500 0.9541
Tb1 Tb 0.4326 0.7500 0.5988
Tb2 Tb 0.0061 0.0005 0.7061
Sb2 Sb 0.2048 0.2500 0.0459
Tb3 Tb 0.3983 0.7500 0.1137
Tb4 Tb 0.9939 0.9995 0.2939
Tb5 Tb 0.0061 0.4995 0.7061
Ir1 Ir 0.7311 0.7500 0.4289
Tb6 Tb 0.6017 0.2500 0.8863
Tb7 Tb 0.9939 0.5005 0.2939
Ir2 Ir 0.2689 0.2500 0.5711
Tb8 Tb 0.5674 0.2500 0.4012
```

Output
DOS(E_F) in states/eV/atom: 0.886
Offset from the most stable computed form in meV/atom: 0
Total magnetic moment in Bohr magnetons per cell: 0.00
Uncorrected formation energy in eV per formula unit: -4.3